[1]
{"formula": "TeIrSe2", "functional": "PBE", "state": "optimized geometry", "lattice_angstrom": [[3.879, 0.000, 0.000], [0.000, 5.206, 0.000], [0.000, 0.000, 8.797]], "species": ["Te", "Te", "Ir", "Ir", "Se", "Se", "Se", "Se"], "fractional_positions": [[0.000, 0.000, 0.000], [0.000, 0.500, 0.500], [0.500, 0.000, 0.201], [0.500, 0.500, 0.701], [0.000, 0.000, 0.387], [0.000, 0.500, 0.887], [0.500, 0.000, 0.725], [0.500, 0.500, 0.225]], "dos_ef_per_ev_cell": 4.2, "spacegroup": "Amm2", "total_energy_ry_per_atom": -0.353, "magnetic_moment_mub_per_fu": 0.000}

[2]
{"formula": "TeIrSe2", "functional": "PBE", "state": "optimized geometry", "lattice_angstrom": [[3.621, 0.000, 0.000], [-1.811, 3.136, 0.000], [0.000, 0.000, 24.475]], "species": ["Te", "Te", "Te", "Ir", "Ir", "Ir", "Se", "Se", "Se", "Se", "Se", "Se"], "fractional_positions": [[0.000, 0.000, 0.000], [0.333, 0.667, 0.667], [0.667, 0.333, 0.333], [0.000, 0.000, 0.500], [0.333, 0.667, 0.167], [0.667, 0.333, 0.833], [0.000, 0.000, 0.223], [0.000, 0.000, 0.777], [0.333, 0.667, 0.444], [0.333, 0.667, 0.889], [0.667, 0.333, 0.111], [0.667, 0.333, 0.556]], "dos_ef_per_ev_cell": 9.3, "spacegroup": "R-3m", "total_energy_ry_per_atom": -0.350, "magnetic_moment_mub_per_fu": 0.000}

[3]
{"formula": "TeIrSe2", "functional": "PBE", "state": "optimized geometry", "lattice_angstrom": [[5.153, 0.000, 0.000], [0.331, 6.131, 0.000], [0.147, 2.977, 6.274]], "species": ["Te", "Te", "Ir", "Ir", "Se", "Se", "Se", "Se"], "fractional_positions": [[0.000, 0.000, 0.000], [0.100, 0.320, 0.316], [0.787, 0.619, 0.009], [0.792, 0.315, 0.625], [0.504, 0.594, 0.317], [0.582, 0.273, 0.979], [0.600, 0.937, 0.649], [0.975, 0.669, 0.651]], "dos_ef_per_ev_cell": 0.5, "spacegroup": "P1", "total_energy_ry_per_atom": -0.362, "magnetic_moment_mub_per_fu": 0.000}